Record 1
CdP2W | Alexandria | PBE-GGA | optimized geometry; polymorph energy (0 for the lowest one) = 1.19 eV per formula unit; calculated formation energy = 273 meV/atom; volume = 69.6 Å³/f.u.; space-group type = No. 99
1.0
-2.210 1.784 1.374
0.503 -1.485 2.738
4.864 4.736 1.674
P W Cd
2 1 1
direct
0.500 0.500 0.276
0.000 0.000 0.076
0.000 0.000 0.427
0.500 0.500 0.722

Record 2
Y2ZrNiI | Alexandria | PBE-GGA | optimized geometry; formation energy from raw total energies = -0.0700 eV per atom; volume = 141.5 Å³/f.u.; space-group type = No. 123
1.0
5.456 0.000 0.000
0.000 4.753 0.000
0.000 0.000 5.456
Y Ni Zr I
2 1 1 1
direct
0.000 0.000 0.500
0.500 0.000 0.000
0.000 0.000 0.000
0.000 0.500 0.000
0.500 0.500 0.500

Record 3
Pm7In2Ru2 | Alexandria | PBE-GGA | optimized geometry; calculated formation energy = -223 meV/atom; volume = 335.5 Å³/f.u.; space-group type = No. 65
1.0
-6.761 1.380 1.079
-1.008 -6.765 2.343
3.465 1.517 5.871
Pm In Ru
7 2 2
direct
0.500 0.243 0.500
0.000 0.251 0.500
0.500 0.251 0.000
0.500 0.749 0.000
0.000 0.000 0.000
0.000 0.749 0.500
0.500 0.757 0.500
0.173 0.500 0.173
0.827 0.500 0.827
0.295 0.000 0.705
0.705 0.000 0.295

Record 4
RbInPb | Alexandria | PBE-GGA | optimized geometry; calculated formation energy = -45 meV/atom; volume = 126.8 Å³/f.u.; space-group type = No. 74
1.0
-5.674 0.683 1.893
-0.996 -5.915 -0.850
-1.312 -3.894 7.048
In Pb Rb
2 2 2
direct
0.500 0.000 0.500
0.000 0.000 0.500
0.937 0.187 0.125
0.063 0.813 0.875
0.611 0.361 0.778
0.389 0.639 0.222

Record 5
Mo2AsPt | Alexandria | PBE-GGA | optimized geometry; calculated formation energy = 33 meV/atom; volume = 64.1 Å³/f.u.; space-group type = No. 99
1.0
-0.216 2.289 2.340
-1.541 -2.140 1.951
5.240 -1.761 2.207
Mo As Pt
2 1 1
direct
0.500 0.500 0.246
0.000 0.000 0.995
0.500 0.500 0.769
0.000 0.000 0.490

Record 6
Pa2GaSnN5 | Alexandria | PBE-GGA | optimized geometry; formation energy from raw total energies = -0.6725 eV per atom; volume = 116.4 Å³/f.u.; space-group type = No. 36
1.0
3.323 0.000 0.000
-1.662 6.908 0.000
0.000 0.000 10.144
Pa N Ga Sn
4 10 2 2
direct
0.883 0.766 0.197
0.117 0.234 0.697
0.133 0.267 0.290
0.867 0.733 0.790
0.286 0.572 0.659
0.369 0.738 0.016
0.703 0.405 0.858
0.631 0.262 0.516
0.714 0.428 0.159
0.297 0.595 0.358
0.497 0.994 0.780
0.503 0.006 0.280
0.944 0.888 0.550
0.056 0.112 0.050
0.513 0.025 0.974
0.487 0.975 0.474
0.211 0.423 0.001
0.789 0.577 0.501

Record 7
AsPtN2O | Alexandria | PBE-GGA | optimized geometry; formation energy from raw total energies = 1.2955 eV per atom; volume = 61.9 Å³/f.u.; space-group type = No. 123
1.0
3.909 0.000 0.000
0.000 3.909 0.000
0.000 0.000 4.049
Pt N As O
1 2 1 1
direct
0.000 0.000 0.000
0.000 0.500 0.000
0.500 0.000 0.000
0.500 0.500 0.500
0.000 0.000 0.500

Record 8
BeAg2Cl | Alexandria | PBE-GGA | optimized geometry; formation energy from raw total energies = -0.0989 eV per atom; polymorph energy (0 for the lowest one) = 0.06 eV per formula unit; volume = 83.6 Å³/f.u.; space-group type = No. 6
1.0
2.991 0.000 0.000
0.000 4.103 0.038
0.000 1.306 6.821
Ag Cl Be
2 1 1
direct
0.500 0.281 0.291
0.000 0.844 0.103
0.500 0.655 0.655
0.000 0.720 0.451

Record 9
PuHgSe2 | Alexandria | PBE-GGA | optimized geometry; formation energy from raw total energies = -0.8040 eV per atom; polymorph energy (0 for the lowest one) = 0.27 eV per formula unit; volume = 97.9 Å³/f.u.; space-group type = No. 123
1.0
3.672 0.000 0.000
0.000 3.672 0.000
0.000 0.000 7.257
Hg Se Pu
1 2 1
direct
0.500 0.500 0.500
0.000 0.000 0.209
0.000 0.000 0.791
0.500 0.500 0.000

Record 10
HfRhSe2N | Alexandria | PBE-GGA | optimized geometry; formation energy from raw total energies = 0.2004 eV per atom; polymorph energy (0 for the lowest one) = 0.00 eV per formula unit; volume = 93.6 Å³/f.u.; space-group type = No. 123
1.0
-0.346 4.835 1.505
-4.142 0.598 -2.872
-2.086 -1.019 2.796
Rh Se Hf N
1 2 1 1
direct
0.000 0.000 0.000
0.500 0.000 0.000
0.000 0.500 0.000
0.500 0.500 0.500
0.000 0.000 0.500

Record 11
SrP3Se | Alexandria | PBE-GGA | optimized geometry; formation energy from raw total energies = -0.1967 eV per atom; polymorph energy (0 for the lowest one) = 0.00 eV per formula unit; volume = 123.7 Å³/f.u.; space-group type = No. 11
1.0
4.863 0.000 0.000
0.000 5.964 0.006
0.000 1.957 8.529
P Se Sr
6 2 2
direct
0.750 0.515 0.960
0.250 0.485 0.040
0.533 0.801 0.349
0.967 0.801 0.349
0.467 0.199 0.651
0.033 0.199 0.651
0.750 0.153 0.900
0.250 0.847 0.100
0.750 0.306 0.325
0.250 0.694 0.675

Record 12
AgBi2S5 | Alexandria | PBE-GGA | optimized geometry; formation energy from raw total energies = -0.0782 eV per atom; volume = 247.4 Å³/f.u.; space-group type = No. 63
1.0
-2.447 3.042 3.912
4.683 -5.955 3.655
8.831 6.996 0.083
S Ag Bi
10 2 4
direct
0.011 0.021 0.160
0.685 0.370 0.963
0.989 0.979 0.660
0.224 0.448 0.750
0.011 0.021 0.340
0.315 0.630 0.037
0.776 0.552 0.250
0.685 0.370 0.537
0.315 0.630 0.463
0.989 0.979 0.840
0.707 0.415 0.750
0.293 0.585 0.250
0.853 0.706 0.459
0.147 0.294 0.959
0.147 0.294 0.541
0.853 0.706 0.041

Record 13
LaThMgCd | Alexandria | PBE-GGA | optimized geometry; calculated formation energy = -70 meV/atom; volume = 117.3 Å³/f.u.; space-group type = No. 216
1.0
-3.392 -2.805 -3.288
1.365 -5.045 -1.694
-2.707 -4.373 1.932
Cd Th Mg La
1 1 1 1
direct
0.750 0.750 0.750
0.500 0.500 0.500
0.250 0.250 0.250
0.000 0.000 0.000

Record 14
SmGdFeAg | Alexandria | PBE-GGA | optimized geometry; calculated formation energy = 12 meV/atom; volume = 91.4 Å³/f.u.; space-group type = No. 216
1.0
5.056 0.000 0.000
2.528 4.379 0.000
2.528 1.460 4.128
Sm Fe Ag Gd
1 1 1 1
direct
0.500 0.500 0.500
0.750 0.750 0.750
0.250 0.250 0.250
0.000 0.000 0.000

Record 15
BaCdH6Pt | Alexandria | PBE-GGA | optimized geometry; electronic total energy = -30.522 eV/f.u.; volume = 110.8 Å³/f.u.; space-group type = No. 149
1.0
-0.224 -4.550 2.057
3.911 -3.093 -0.342
1.875 1.887 4.377
Cd H Ba Pt
1 6 1 1
direct
0.667 0.667 0.500
0.483 0.038 0.260
0.483 0.479 0.740
0.479 0.038 0.740
0.038 0.483 0.740
0.038 0.479 0.260
0.479 0.483 0.260
0.000 0.000 0.000
0.333 0.333 0.500

Record 16
Al2CuSb | Alexandria | PBE-GGA | optimized geometry; formation energy from raw total energies = 0.0996 eV per atom; volume = 75.9 Å³/f.u.; space-group type = No. 25
1.0
-0.989 0.995 -3.423
-1.969 -2.134 -0.051
-4.841 4.393 2.676
Al Cu Sb
2 1 1
direct
0.500 0.250 0.284
0.000 0.750 0.057
0.000 0.750 0.438
0.500 0.750 0.721

Record 17
Li2CaPH | Alexandria | PBE-GGA | optimized geometry; polymorph energy (0 for the lowest one) = 0.00 eV per formula unit; volume = 74.9 Å³/f.u.; space-group type = No. 63
1.0
3.981 0.000 0.000
-1.991 5.203 0.000
0.000 0.000 7.230
H P Ca Li
2 2 2 4
direct
0.000 0.000 0.000
0.000 0.000 0.500
0.723 0.445 0.750
0.277 0.555 0.250
0.560 0.120 0.250
0.440 0.880 0.750
0.169 0.338 0.938
0.169 0.338 0.562
0.831 0.662 0.438
0.831 0.662 0.062

Record 18
Ho6HgPd5 | Alexandria | PBE-GGA | optimized geometry; calculated formation energy = -822 meV/atom; volume = 263.7 Å³/f.u.; space-group type = No. 12
1.0
4.789 0.017 -1.403
-0.971 6.220 -3.239
-0.094 0.447 8.624
Pd Hg Ho
5 1 6
direct
0.332 0.332 0.664
0.663 0.163 0.327
0.000 0.500 0.000
0.337 0.837 0.673
0.668 0.668 0.336
0.000 0.000 0.000
0.500 0.260 0.000
0.830 0.575 0.659
0.500 0.740 0.000
0.170 0.425 0.341
0.830 0.085 0.659
0.170 0.915 0.341

Record 19
Nd4ScAs5 | Alexandria | PBE-GGA | optimized geometry; calculated formation energy = -1438 meV/atom; volume = 263.7 Å³/f.u.; space-group type = No. 139
1.0
-2.450 -2.013 -2.783
3.264 -2.429 -1.117
-4.161 -7.615 12.368
As Nd Sc
5 4 1
direct
0.700 0.700 0.399
0.300 0.300 0.601
0.095 0.095 0.189
0.905 0.905 0.811
0.500 0.500 0.000
0.598 0.598 0.195
0.198 0.198 0.397
0.402 0.402 0.805
0.802 0.802 0.603
0.000 0.000 0.000

Record 20
CaNd4Y2 | Alexandria | PBE-GGA | optimized geometry; calculated formation energy = 22 meV/atom; volume = 245.3 Å³/f.u.; space-group type = No. 166
1.0
3.647 0.000 0.316
1.810 3.166 0.316
-0.002 -0.001 21.240
Nd Y Ca
4 2 1
direct
0.857 0.857 0.429
0.718 0.718 0.847
0.282 0.282 0.153
0.143 0.143 0.571
0.430 0.430 0.711
0.570 0.570 0.289
0.000 0.000 0.000

no.,magnetization (Bohr magnetons per cell)
1,0.00
2,0.68
3,0.00
4,0.00
5,0.00
6,2.30
7,0.00
8,0.00
9,4.66
10,0.53
11,0.00
12,0.62
13,0.00
14,5.87
15,0.00
16,0.00
17,0.00
18,0.00
19,0.00
20,0.00